# ZrZn2InRh

A geometry-optimized ZrZn2InRh structure (GGA-PBEsol, the Alexandria database).

Calculated values
ΔE_f ... 1132 meV per atom
Density of states at the Fermi level ... 3.28 states/eV per cell
Crystal system ... tetragonal
Symmetry ... P4/mmm (123)
M_tot ... 0.000 μB per atom

The structure in POSCAR format:
```
ZrZn2InRh
1.0
4.5920 0.0000 0.0000
0.0000 4.5920 0.0000
0.0000 0.0000 5.3687
Zn Rh Zr In
2 1 1 1
Direct
0.0000 0.5000 0.0000
0.5000 0.0000 0.0000
0.5000 0.5000 0.5000
0.0000 0.0000 0.5000
0.0000 0.0000 0.0000
```